(1)
A relaxed AlTl2Sb crystal, computed with GGA-PBE.

Properties
Energy above the lowest structure with this stoichiometry, eV/atom: 0.0572
Energy relative to the elements, uncorrected, eV/f.u.: 0.5
Crystal system: orthorhombic
Total magnetic moment, μB per formula unit: 0.00
Mass density, Mg/m³: 8.5
DOS(E_F), states/eV/f.u.: 2.05

Cell and atoms, written as POSCAR:
```
AlTl2Sb
1.0
2.0291 -2.6322 0.0000
2.0291 2.6322 0.0000
0.0000 0.0000 10.2173
Al Tl Sb
1 2 1
Cartesian
0.0000 0.0000 0.0000 Al
0.0000 0.0000 5.2585 Tl
2.0291 0.0000 2.3538 Tl
2.0291 0.0000 8.1057 Sb
```

---

(2)
A relaxed Tl2CdHgI6 crystal, computed with GGA-PBE.

Properties
Energy relative to the elements, uncorrected, eV/f.u.: -5.0
Crystal system: triclinic
Total magnetic moment, μB per formula unit: 0.00
Mass density, Mg/m³: 4.9
DOS(E_F), states/eV/f.u.: 0.00

Cell and atoms, written as POSCAR:
```
Tl2CdHgI6
1.0
8.3756 0.0000 0.0000
-4.1863 7.2564 0.0000
-0.0053 -4.8329 8.3049
Tl Cd Hg I
2 1 1 6
Cartesian
0.0000 0.0000 0.0000 Tl
-0.0006 4.8391 4.1273 Tl
4.1880 2.4167 1.8860 Cd
-0.0022 0.0031 5.8856 Hg
-2.5887 4.6447 1.7356 I
-1.6713 2.2061 5.8138 I
1.4580 2.6866 1.7423 I
2.7410 0.3435 5.8192 I
5.3168 -0.0826 1.7364 I
7.3011 -2.5444 5.8135 I
```

---

(3)
A relaxed Sc2TiSi2Ru5 crystal, computed with GGA-PBE.

Properties
Energy relative to the elements, uncorrected, eV/f.u.: -7.2
Crystal system: tetragonal
Total magnetic moment, μB per formula unit: 0.00
Mass density, Mg/m³: 7.6
DOS(E_F), states/eV/f.u.: 6.90

Cell and atoms, written as POSCAR:
```
Sc2TiSi2Ru5
1.0
9.8002 0.0000 0.0000
0.0000 9.8002 0.0000
0.0000 0.0000 3.1707
Sc Ti Si Ru
4 2 4 10
Cartesian
1.6856 3.2144 0.0000 Sc
3.2144 8.1145 0.0000 Sc
6.5857 1.6856 0.0000 Sc
8.1145 6.5857 0.0000 Sc
0.0000 0.0000 0.0000 Ti
4.9001 4.9001 0.0000 Ti
1.2658 6.1659 0.0000 Si
3.6343 1.2658 0.0000 Si
6.1659 8.5344 0.0000 Si
8.5344 3.6343 0.0000 Si
0.0000 4.9001 1.5854 Ru
0.6623 7.7992 1.5854 Ru
2.0010 0.6623 1.5854 Ru
2.8991 5.5624 1.5854 Ru
4.2377 2.8991 1.5854 Ru
4.9001 0.0000 1.5854 Ru
5.5624 6.9011 1.5854 Ru
6.9011 4.2377 1.5854 Ru
7.7992 9.1378 1.5854 Ru
9.1378 2.0010 1.5854 Ru
```

---

(4)
A relaxed ScAlPb2 crystal, computed with GGA-PBE.

Properties
Crystal system: orthorhombic
Total magnetic moment, μB per formula unit: 0.00
Mass density, Mg/m³: 8.2
DOS(E_F), states/eV/f.u.: 3.41
Energy of formation from the pure elements, meV per atom: -41

Cell and atoms, written as POSCAR:
```
ScAlPb2
1.0
3.4383 -4.1732 0.0000
3.4383 4.1732 0.0000
0.0000 0.0000 3.4486
Sc Al Pb
1 1 2
Cartesian
0.0000 0.0000 0.0000 Sc
3.4383 0.0000 0.0000 Al
1.7192 2.0866 1.7243 Pb
1.7192 -2.0866 1.7243 Pb
```

---

(5)
A relaxed Tb2Sm2Y15 crystal, computed with GGA-PBE.

Properties
Crystal system: trigonal
Total magnetic moment, μB per formula unit: 0.00
Mass density, Mg/m³: 5.0
DOS(E_F), states/eV/f.u.: 38.68
Energy of formation from the pure elements, meV per atom: 292

Cell and atoms, written as POSCAR:
```
Tb2Sm2Y15
1.0
5.6277 3.2491 5.9274
-5.6277 3.2491 5.9274
0.0000 -6.4983 5.9274
Tb Sm Y
2 2 15
Cartesian
0.0000 0.0000 1.7036 Tb
0.0000 0.0000 16.0787 Tb
0.0000 0.0000 5.7491 Sm
0.0000 0.0000 12.0332 Sm
-5.6276 0.0000 8.8911 Y
-1.6821 -3.5848 5.9274 Y
-2.8138 1.6246 2.9637 Y
-3.9455 0.3356 5.9274 Y
-2.7039 -1.5611 8.3526 Y
1.6821 -3.5848 5.9274 Y
-2.2634 3.2491 5.9274 Y
0.0000 -3.1222 9.4297 Y
-2.7039 1.5611 9.4297 Y
2.8138 1.6246 2.9637 Y
2.7039 -1.5611 8.3526 Y
0.0000 3.1222 8.3526 Y
3.9456 0.3356 5.9274 Y
2.2634 3.2491 5.9274 Y
2.7039 1.5611 9.4297 Y
```

---

(6)
A relaxed PmZrTcPd crystal, computed with GGA-PBE.

Properties
Crystal system: cubic
Total magnetic moment, μB per formula unit: 0.00
Mass density, Mg/m³: 9.1
DOS(E_F), states/eV/f.u.: 2.25
Energy of formation from the pure elements, meV per atom: -325

Cell and atoms, written as POSCAR:
```
PmZrTcPd
1.0
0.0000 3.4259 3.4259
3.4259 0.0000 3.4259
3.4259 3.4259 0.0000
Pm Zr Tc Pd
1 1 1 1
Cartesian
0.0000 0.0000 0.0000 Pm
3.4259 3.4259 3.4259 Zr
1.7130 1.7130 1.7130 Tc
5.1389 5.1389 5.1389 Pd
```

---

(7)
A relaxed Na3Tb3GaO8 crystal, computed with GGA-PBE.

Properties
Energy relative to the elements, uncorrected, eV/f.u.: -36.3
Crystal system: trigonal
Total magnetic moment, μB per formula unit: 1.16
Mass density, Mg/m³: 5.7
DOS(E_F), states/eV/f.u.: 12.71

Cell and atoms, written as POSCAR:
```
Na3Tb3GaO8
1.0
3.3796 1.9512 5.5225
-3.3796 1.9512 5.5225
0.0000 -3.9024 5.5225
Na Tb Ga O
3 3 1 8
Cartesian
-1.6898 -0.9756 5.5225 Na
-1.6898 0.9756 11.0449 Na
0.0000 1.9512 5.5225 Na
-3.3796 0.0000 8.2837 Tb
-1.6898 0.9756 2.7612 Tb
1.6898 0.9756 2.7612 Tb
0.0000 0.0000 8.2837 Ga
0.0000 0.0000 3.9294 O
-1.5338 -0.8856 9.3752 O
0.0000 -1.7711 7.1922 O
-1.5338 0.8856 7.1922 O
1.5338 -0.8856 9.3752 O
0.0000 1.7711 9.3752 O
1.5338 0.8856 7.1922 O
0.0000 0.0000 12.6380 O
```

---

(8)
A relaxed FeCoOs2 crystal, computed with GGA-PBE.

Properties
Energy above the lowest structure with this stoichiometry, eV/atom: 0.2652
Crystal system: cubic
Total magnetic moment, μB per formula unit: 5.13
Mass density, Mg/m³: 15.4
DOS(E_F), states/eV/f.u.: 5.72
Energy of formation from the pure elements, meV per atom: 374

Cell and atoms, written as POSCAR:
```
FeCoOs2
1.0
0.0000 2.9878 2.9878
2.9878 0.0000 2.9878
2.9878 2.9878 0.0000
Fe Co Os
1 1 2
Cartesian
0.0000 0.0000 0.0000 Fe
1.4939 1.4939 1.4939 Co
2.9878 2.9878 2.9878 Os
4.4818 4.4818 4.4818 Os
```

---

(9)
A relaxed LiZnRu crystal, computed with GGA-PBE.

Properties
Energy above the lowest structure with this stoichiometry, eV/atom: 0.6808
Crystal system: cubic
Total magnetic moment, μB per formula unit: 1.08
Mass density, Mg/m³: 5.7
DOS(E_F), states/eV/f.u.: 3.96
Energy of formation from the pure elements, meV per atom: 662

Cell and atoms, written as POSCAR:
```
LiZnRu
1.0
0.0000 2.9397 2.9397
2.9397 0.0000 2.9397
2.9397 2.9397 0.0000
Li Zn Ru
1 1 1
Cartesian
0.0000 0.0000 0.0000 Li
2.9397 2.9397 2.9397 Zn
1.4698 1.4698 1.4698 Ru
```

---

(10)
A relaxed Ac2SbHRh6 crystal, computed with GGA-PBE.

Properties
Crystal system: orthorhombic
Total magnetic moment, μB per formula unit: 0.00
Mass density, Mg/m³: 10.6
Total energy, eV/atom: -6.45
DOS(E_F), states/eV/f.u.: 9.55

Cell and atoms, written as POSCAR:
```
Ac2SbHRh6
1.0
-3.1764 3.2325 4.5338
3.1764 -3.2325 4.5338
3.1764 3.2325 -4.5338
Ac Sb H Rh
2 1 1 6
Cartesian
0.0000 0.0000 2.2462 Ac
0.0000 0.0000 6.8213 Ac
3.1764 0.0000 0.0000 Sb
0.0000 3.2325 0.0000 H
3.1764 0.0000 2.5562 Rh
1.4016 1.8410 0.0000 Rh
1.7748 -1.3914 4.5338 Rh
1.4016 4.6239 0.0000 Rh
1.7748 1.3914 4.5338 Rh
0.0000 3.2325 1.9776 Rh
```

---

(11)
A relaxed TaGaNiIr crystal, computed with GGA-PBE.

Properties
Energy above the lowest structure with this stoichiometry, eV/atom: 0.0350
Crystal system: cubic
Total magnetic moment, μB per formula unit: 0.09
Mass density, Mg/m³: 14.2
DOS(E_F), states/eV/f.u.: 4.99
Energy of formation from the pure elements, meV per atom: -406

Cell and atoms, written as POSCAR:
```
TaGaNiIr
1.0
0.0000 3.0856 3.0856
3.0856 0.0000 3.0856
3.0856 3.0856 0.0000
Ta Ga Ni Ir
1 1 1 1
Cartesian
0.0000 0.0000 0.0000 Ta
3.0856 3.0856 3.0856 Ga
1.5428 1.5428 1.5428 Ni
4.6284 4.6284 4.6284 Ir
```

---

(12)
A relaxed Rb2GeAs crystal, computed with GGA-PBE.

Properties
Energy above the lowest structure with this stoichiometry, eV/atom: 0.0000
Crystal system: orthorhombic
Total magnetic moment, μB per formula unit: 0.00
Mass density, Mg/m³: 3.8
DOS(E_F), states/eV/f.u.: 0.22
Energy of formation from the pure elements, meV per atom: -296

Cell and atoms, written as POSCAR:
```
Rb2GeAs
1.0
5.3625 -5.3102 0.0000
5.3625 5.3102 0.0000
0.0000 0.0000 9.8551
Rb Ge As
8 4 4
Cartesian
2.6813 2.6493 7.3913 Rb
5.3625 5.3016 8.0857 Rb
2.6813 -2.6493 2.4638 Rb
5.3625 0.0086 3.1581 Rb
5.3625 -0.0086 6.6969 Rb
8.0438 2.6493 7.3913 Rb
5.3625 -5.3016 1.7694 Rb
8.0438 -2.6493 2.4638 Rb
5.3625 3.5511 4.9228 Ge
5.3625 1.7591 9.8503 Ge
5.3625 -1.7591 0.0048 Ge
5.3625 -3.5511 4.9323 Ge
1.7920 0.0000 4.9275 As
3.5705 0.0000 0.0000 As
7.1545 0.0000 0.0000 As
8.9330 0.0000 4.9275 As
```

---

(13)
A relaxed La4RuPt2 crystal, computed with GGA-PBE.

Properties
Crystal system: orthorhombic
Total magnetic moment, μB per formula unit: 0.00
Mass density, Mg/m³: 8.6
DOS(E_F), states/eV/f.u.: 4.34
Energy of formation from the pure elements, meV per atom: -789

Cell and atoms, written as POSCAR:
```
La4RuPt2
1.0
7.4999 0.0000 0.0000
0.0000 12.3783 0.0000
0.0000 0.0000 4.3415
La Ru Pt
8 2 4
Cartesian
0.9663 2.5665 0.0000 La
1.8296 11.8122 2.1708 La
1.9203 5.6230 2.1708 La
2.7836 8.7556 0.0000 La
4.7162 3.6227 0.0000 La
5.5795 6.7553 2.1708 La
5.6702 0.5661 2.1708 La
6.5335 9.8118 0.0000 La
0.0000 0.0000 0.0000 Ru
3.7499 6.1892 0.0000 Ru
0.6782 8.5056 2.1708 Pt
3.0717 2.3164 2.1708 Pt
4.4282 10.0619 2.1708 Pt
6.8216 3.8727 2.1708 Pt
```

---

(14)
A relaxed Sm4Te2OsBr crystal, computed with GGA-PBE.

Properties
Energy relative to the elements, uncorrected, eV/f.u.: -7.9
Crystal system: monoclinic
Total magnetic moment, μB per formula unit: 0.00
Mass density, Mg/m³: 7.9
DOS(E_F), states/eV/f.u.: 5.93

Cell and atoms, written as POSCAR:
```
Sm4Te2OsBr
1.0
7.6490 0.0000 0.0000
0.0000 4.2298 0.0000
-2.2675 0.0000 7.3379
Sm Te Os Br
4 2 1 1
Cartesian
1.1316 0.0000 1.5450 Sm
-0.0595 2.1149 5.6644 Sm
5.4410 2.1149 1.6735 Sm
4.2499 0.0000 5.7929 Sm
-1.1337 0.0000 3.6689 Te
2.6908 2.1149 3.6689 Te
0.0000 2.1149 0.0000 Os
3.8245 0.0000 0.0000 Br
```

---

(15)
A relaxed LaHo2Co crystal, computed with GGA-PBE.

Properties
Energy above the lowest structure with this stoichiometry, eV/atom: 0.2455
Crystal system: trigonal
Total magnetic moment, μB per formula unit: 0.00
Mass density, Mg/m³: 7.4
DOS(E_F), states/eV/f.u.: 4.08
Energy of formation from the pure elements, meV per atom: 90

Cell and atoms, written as POSCAR:
```
LaHo2Co
1.0
1.8248 1.0535 10.3098
-1.8248 1.0535 10.3098
0.0000 -2.1071 10.3098
La Ho Co
1 2 1
Cartesian
0.0000 0.0000 0.0000 La
0.0000 0.0000 3.6006 Ho
0.0000 0.0000 27.3288 Ho
0.0000 0.0000 15.4647 Co
```

---

(16)
A relaxed K4SnTe2Se2 crystal, computed with GGA-PBE.

Properties
Energy relative to the elements, uncorrected, eV/f.u.: -8.6
Crystal system: orthorhombic
Total magnetic moment, μB per formula unit: 0.00
Mass density, Mg/m³: 3.3
DOS(E_F), states/eV/f.u.: 0.00

Cell and atoms, written as POSCAR:
```
K4SnTe2Se2
1.0
15.2548 0.0000 0.0000
0.0000 10.7928 0.0000
0.0000 0.0000 8.5407
K Sn Te Se
16 4 8 8
Cartesian
0.0000 0.0000 0.0000 K
0.0000 5.3964 0.0000 K
0.9876 2.6982 4.1782 K
3.5145 5.7946 5.5060 K
3.5145 10.3946 5.5060 K
4.1129 0.3982 1.2356 K
4.1129 4.9982 1.2356 K
6.6398 8.0946 8.4485 K
7.6274 0.0000 4.2704 K
7.6274 5.3964 4.2704 K
8.6150 2.6982 0.0922 K
11.1419 5.7946 7.3051 K
11.1419 10.3946 7.3051 K
11.7402 0.3982 3.0347 K
11.7402 4.9982 3.0347 K
14.2672 8.0946 4.3626 K
2.4601 8.0946 2.2516 Sn
5.1672 2.6982 6.5220 Sn
10.0875 8.0946 2.0187 Sn
12.7946 2.6982 6.2891 Sn
2.5229 2.6982 7.4696 Te
2.5100 8.0946 7.9966 Te
5.1174 2.6982 3.7263 Te
5.1045 8.0946 3.1993 Te
10.1502 2.6982 5.3415 Te
10.1374 8.0946 4.8144 Te
12.7448 2.6982 0.5441 Te
12.7319 8.0946 1.0711 Te
1.2864 5.9821 3.0543 Se
1.2864 10.2071 3.0543 Se
6.3409 0.5857 7.3247 Se
6.3409 4.8107 7.3247 Se
8.9138 5.9821 1.2160 Se
8.9138 10.2071 1.2160 Se
13.9683 0.5857 5.4864 Se
13.9683 4.8107 5.4864 Se
```

---

(17)
A relaxed Tm6AuC3 crystal, computed with GGA-PBE.

Properties
Crystal system: monoclinic
Total magnetic moment, μB per formula unit: 0.33
Mass density, Mg/m³: 10.2
DOS(E_F), states/eV/f.u.: 6.08
Energy of formation from the pure elements, meV per atom: -431

Cell and atoms, written as POSCAR:
```
Tm6AuC3
1.0
10.6823 0.0000 0.0000
0.0000 3.5762 0.0000
-3.5989 0.0000 10.5959
Tm Au C
12 2 6
Cartesian
-0.9602 0.8941 3.9940 Tm
1.0376 2.6822 1.3998 Tm
0.3151 0.8941 7.0960 Tm
1.8730 2.6822 4.5958 Tm
0.4593 2.6822 10.0522 Tm
3.8935 0.8941 2.5033 Tm
3.1900 2.6822 8.0926 Tm
6.6241 0.8941 0.5437 Tm
5.2105 0.8941 6.0001 Tm
6.7683 2.6822 3.4999 Tm
6.0459 0.8941 9.1961 Tm
8.0437 2.6822 6.6019 Tm
-1.7953 0.8941 9.4163 Au
8.8788 2.6822 1.1797 Au
-0.2872 2.6822 5.6330 C
1.5065 0.8941 3.0281 C
1.8659 0.8941 9.0410 C
5.2175 2.6822 1.5549 C
5.5770 2.6822 7.5678 C
7.3707 0.8941 4.9629 C
```

---

(18)
A relaxed PmC2O6 crystal, computed with GGA-PBE.

Properties
Energy relative to the elements, uncorrected, eV/f.u.: -16.8
Crystal system: monoclinic
Total magnetic moment, μB per formula unit: 1.02
Mass density, Mg/m³: 4.0
DOS(E_F), states/eV/f.u.: 3.13

Cell and atoms, written as POSCAR:
```
PmC2O6
1.0
5.1776 -3.8185 0.0000
5.1776 3.8185 0.0000
-4.0194 0.0000 5.5404
Pm C O
2 4 12
Cartesian
2.1630 2.3873 4.1553 Pm
4.1727 -2.3873 1.3851 Pm
-0.6220 0.4226 4.7854 C
1.3877 -0.4226 2.0152 C
4.9480 0.4226 3.5253 C
6.9577 -0.4226 0.7550 C
-1.4015 0.5722 3.7631 O
0.6083 -0.5722 0.9929 O
0.2009 1.3235 5.1413 O
1.2529 0.6731 2.6883 O
-0.7568 -0.6731 5.4585 O
4.1252 1.3235 3.1693 O
2.2106 -1.3235 2.3711 O
7.0926 0.6731 0.0819 O
5.0829 -0.6731 2.8522 O
6.1349 -1.3235 0.3991 O
5.7275 0.5722 4.5475 O
7.7372 -0.5722 1.7773 O
```

---

(19)
A relaxed Pb2WSe crystal, computed with GGA-PBE.

Properties
Energy relative to the elements, uncorrected, eV/f.u.: 1.7
Crystal system: orthorhombic
Total magnetic moment, μB per formula unit: 0.00
Mass density, Mg/m³: 10.5
DOS(E_F), states/eV/f.u.: 3.94

Cell and atoms, written as POSCAR:
```
Pb2WSe
1.0
-1.6503 2.2103 7.3099
1.6503 -2.2103 7.3099
1.6503 2.2103 -7.3099
Pb W Se
2 1 1
Cartesian
0.0000 0.0000 0.0000 Pb
0.0000 2.2103 2.3052 Pb
0.0000 0.0000 6.4149 W
1.6503 0.0000 4.5634 Se
```

---

(20)
A relaxed MgZnSn2 crystal, computed with GGA-PBE.

Properties
Energy above the lowest structure with this stoichiometry, eV/atom: 0.0331
Crystal system: trigonal
Total magnetic moment, μB per formula unit: 0.00
Mass density, Mg/m³: 5.4
DOS(E_F), states/eV/f.u.: 1.48
Energy of formation from the pure elements, meV per atom: 36

Cell and atoms, written as POSCAR:
```
MgZnSn2
1.0
2.2624 1.3062 5.6217
-2.2624 1.3062 5.6217
0.0000 -2.6124 5.6217
Mg Zn Sn
1 1 2
Cartesian
0.0000 0.0000 0.0000 Mg
0.0000 0.0000 2.9315 Zn
0.0000 0.0000 9.7231 Sn
0.0000 0.0000 12.9090 Sn
```